1.
Here is a relaxed structure of Sm3CoRu from Alexandria. Energies are from GGA-PBE.

abc: 4.088 7.840 8.133
angles: 113.36 90.00 90.00
Site moments in Bohr magnetons follow the coordinates.
Fractional coordinates of all 10 atoms:
Sm (0.250, 0.690, 0.080)  -0.02
Sm (0.750, 0.310, 0.920)  -0.02
Sm (0.250, 0.372, 0.596)  -0.03
Sm (0.750, 0.092, 0.224)  -0.04
Sm (0.750, 0.628, 0.404)  -0.03
Sm (0.250, 0.908, 0.776)  -0.04
Co (0.750, 0.042, 0.556)  0.75
Co (0.250, 0.958, 0.444)  0.75
Ru (0.750, 0.652, 0.812)  -0.01
Ru (0.250, 0.348, 0.188)  -0.01

Values from the calculation:
Volume ... 239 Å³ per cell
E above lowest polymorph ... 0 meV per atom
Space-group type ... P2_1/m (11)
Magnetization ... 1.12 μB per cell
Crystal system ... monoclinic



2.
Here is a relaxed structure of Sm12Co6Ru from Alexandria. Energies are from GGA-PBE.

abc: 8.067 8.067 8.067
angles: 99.27 99.27 99.27
Fractional coordinates of all 19 atoms:
Sm (0.180, 0.408, 0.575)
Sm (0.052, 0.675, 0.905)
Sm (0.425, 0.820, 0.592)
Sm (0.675, 0.905, 0.052)
Sm (0.820, 0.592, 0.425)
Sm (0.408, 0.575, 0.180)
Sm (0.575, 0.180, 0.408)
Sm (0.905, 0.052, 0.675)
Sm (0.948, 0.325, 0.095)
Sm (0.095, 0.948, 0.325)
Sm (0.325, 0.095, 0.948)
Sm (0.592, 0.425, 0.820)
Co (0.614, 0.316, 0.134)
Co (0.866, 0.386, 0.684)
Co (0.316, 0.134, 0.614)
Co (0.684, 0.866, 0.386)
Co (0.386, 0.684, 0.866)
Co (0.134, 0.614, 0.316)
Ru (0.000, 0.000, 0.000)

Values from the calculation:
Volume ... 502 Å³ per cell
Space-group type ... R-3 (148)
Magnetization ... 0.00 μB per cell
Uncorrected energy ... -5.722 eV per atom
Crystal system ... trigonal



3.
Here is a relaxed structure of Sm2CoRu3 from Alexandria. Energies are from GGA-PBE.

abc: 5.326 5.326 5.334
angles: 89.94 120.02 120.00
Site moments in Bohr magnetons follow the coordinates.
Fractional coordinates of all 6 atoms:
Sm (0.248, 0.624, 0.873)  -0.04
Sm (0.752, 0.376, 0.127)  -0.04
Co (0.000, 0.000, 0.000)  0.98
Ru (0.000, 0.000, 0.500)  -0.03
Ru (0.500, 0.500, 0.500)  -0.03
Ru (0.500, 0.000, 0.500)  -0.03

Values from the calculation:
Volume ... 107 Å³ per cell
Space-group type ... R-3m (166)
Magnetization ... 0.73 μB per cell
Uncorrected energy ... -7.585 eV per atom
Crystal system ... trigonal



4.
Here is a relaxed structure of Sm3CoRu from Alexandria. Energies are from GGA-PBE.

abc: 4.031 7.636 8.116
angles: 86.68 89.96 105.27
Fractional coordinates of all 10 atoms:
Ru (0.423, 0.879, 0.278)
Ru (0.621, 0.275, 0.143)
Co (0.227, 0.486, 0.631)
Co (0.817, 0.668, 0.791)
Sm (0.078, 0.188, 0.385)
Sm (0.636, 0.304, 0.773)
Sm (0.408, 0.850, 0.648)
Sm (0.966, 0.966, 0.037)
Sm (0.785, 0.603, 0.392)
Sm (0.259, 0.551, 0.030)

Values from the calculation:
Volume ... 241 Å³ per cell
E above lowest polymorph ... 58 meV per atom
Space-group type ... P-1 (2)
Magnetization ... 0.00 μB per cell
Crystal system ... triclinic



5.
Here is a relaxed structure of Sm6Co2Ru from Alexandria. Energies are from GGA-PBE.

abc: 6.643 7.137 9.995
angles: 90.00 88.11 90.00
Fractional coordinates of all 18 atoms:
Sm (0.320, 0.836, 0.077)
Sm (0.850, 0.660, 0.918)
Sm (0.680, 0.164, 0.923)
Sm (0.820, 0.664, 0.577)
Sm (0.350, 0.840, 0.418)
Sm (0.180, 0.336, 0.423)
Sm (0.834, 0.964, 0.242)
Sm (0.334, 0.536, 0.742)
Sm (0.650, 0.160, 0.582)
Sm (0.666, 0.464, 0.258)
Sm (0.166, 0.036, 0.758)
Sm (0.150, 0.340, 0.082)
Co (0.971, 0.347, 0.692)
Co (0.029, 0.653, 0.308)
Co (0.529, 0.847, 0.808)
Co (0.471, 0.153, 0.192)
Ru (0.000, 0.000, 0.500)
Ru (0.500, 0.500, 0.000)

Values from the calculation:
Volume ... 474 Å³ per cell
E above lowest polymorph ... 32 meV per atom
Space-group type ... P2_1/c (14)
Magnetization ... 0.00 μB per cell
Crystal system ... monoclinic



6.
Here is a relaxed structure of Sm6CoRu2 from Alexandria. Energies are from GGA-PBE.

abc: 6.617 7.432 9.696
angles: 90.00 89.01 90.00
Fractional coordinates of all 18 atoms:
Sm (0.337, 0.829, 0.430)
Sm (0.846, 0.952, 0.246)
Sm (0.663, 0.171, 0.570)
Sm (0.832, 0.679, 0.568)
Sm (0.654, 0.452, 0.254)
Sm (0.668, 0.179, 0.932)
Sm (0.346, 0.548, 0.746)
Sm (0.163, 0.329, 0.070)
Sm (0.154, 0.048, 0.754)
Sm (0.168, 0.321, 0.432)
Sm (0.837, 0.671, 0.930)
Sm (0.332, 0.821, 0.068)
Ru (0.540, 0.885, 0.765)
Ru (0.040, 0.615, 0.265)
Ru (0.960, 0.385, 0.735)
Ru (0.460, 0.115, 0.235)
Co (0.000, 0.000, 0.500)
Co (0.500, 0.500, 0.000)

Values from the calculation:
Volume ... 477 Å³ per cell
Space-group type ... P2_1/c (14)
Magnetization ... 0.00 μB per cell
Uncorrected energy ... -6.176 eV per atom
Crystal system ... monoclinic



7.
Here is a relaxed structure of Sm3Co3Ru from Alexandria. Energies are from GGA-PBE.

abc: 4.197 5.583 12.702
angles: 90.00 90.00 112.07
Site moments in Bohr magnetons follow the coordinates.
Fractional coordinates of all 14 atoms:
Sm (0.480, 0.960, 0.250)  -0.10
Sm (0.228, 0.456, 0.896)  -0.10
Sm (0.772, 0.544, 0.104)  -0.10
Sm (0.772, 0.544, 0.396)  -0.10
Sm (0.520, 0.040, 0.750)  -0.10
Sm (0.228, 0.456, 0.604)  -0.10
Co (0.936, 0.872, 0.588)  1.01
Co (0.828, 0.656, 0.750)  0.72
Co (0.172, 0.344, 0.250)  0.72
Co (0.936, 0.872, 0.912)  1.01
Co (0.064, 0.128, 0.088)  1.01
Co (0.064, 0.128, 0.412)  1.01
Ru (0.500, 0.000, 0.500)  0.52
Ru (0.500, 0.000, 0.000)  0.52

Values from the calculation:
Volume ... 276 Å³ per cell
Space-group type ... Cmcm (63)
Magnetization ... 5.35 μB per cell
Uncorrected energy ... -6.535 eV per atom
Crystal system ... orthorhombic



8.
Here is a relaxed structure of Sm4CoRu from Alexandria. Energies are from GGA-PBE.

abc: 6.276 7.419 8.035
angles: 113.48 108.40 99.33
Fractional coordinates of all 12 atoms:
Sm (0.007, 0.237, 0.874)
Sm (0.352, 0.955, 0.642)
Sm (0.633, 0.363, 0.126)
Sm (0.993, 0.763, 0.126)
Sm (0.791, 0.687, 0.642)
Sm (0.648, 0.045, 0.358)
Sm (0.367, 0.637, 0.874)
Sm (0.209, 0.313, 0.358)
Co (0.748, 0.998, 0.995)
Co (0.252, 0.002, 0.005)
Ru (0.614, 0.364, 0.729)
Ru (0.386, 0.636, 0.271)

Values from the calculation:
Volume ... 307 Å³ per cell
E above lowest polymorph ... 0 meV per atom
Space-group type ... C2/c (15)
Magnetization ... 0.00 μB per cell
Crystal system ... monoclinic



9.
Here is a relaxed structure of Sm6Co2Ru from Alexandria. Energies are from GGA-PBE.

abc: 8.333 8.333 8.333
angles: 108.72 109.92 109.78
Fractional coordinates of all 18 atoms:
Ru (0.000, 0.500, 0.500)
Ru (0.000, 0.000, 0.000)
Sm (0.317, 0.645, 0.328)
Sm (0.683, 0.011, 0.328)
Sm (0.432, 0.257, 0.175)
Sm (0.816, 0.735, 0.551)
Sm (0.568, 0.743, 0.825)
Sm (0.184, 0.265, 0.449)
Sm (0.184, 0.735, 0.919)
Sm (0.816, 0.265, 0.081)
Sm (0.083, 0.257, 0.825)
Sm (0.317, 0.989, 0.672)
Sm (0.917, 0.743, 0.175)
Sm (0.683, 0.355, 0.672)
Co (0.500, 0.612, 0.112)
Co (0.500, 0.388, 0.888)
Co (0.330, 0.000, 0.330)
Co (0.670, 0.000, 0.670)

Values from the calculation:
Volume ... 445 Å³ per cell
E above lowest polymorph ... 0 meV per atom
Space-group type ... Immm (71)
Magnetization ... 0.00 μB per cell
Crystal system ... orthorhombic



10.
Here is a relaxed structure of Sm4CoRu from Alexandria. Energies are from GGA-PBE.

abc: 7.694 7.694 7.694
angles: 106.83 106.83 114.90
Fractional coordinates of all 12 atoms:
Ru (0.248, 0.248, 0.000)
Ru (0.998, 0.498, 0.500)
Sm (0.254, 0.556, 0.302)
Sm (0.747, 0.448, 0.701)
Sm (0.198, 0.997, 0.201)
Sm (0.702, 0.504, 0.198)
Sm (0.795, 0.997, 0.799)
Sm (0.254, 0.952, 0.698)
Sm (0.747, 0.045, 0.299)
Sm (0.306, 0.504, 0.802)
Co (0.752, 0.752, 0.000)
Co (0.502, 0.002, 0.500)

Values from the calculation:
Volume ... 348 Å³ per cell
E above lowest polymorph ... 61 meV per atom
Space-group type ... I4_1md (109)
Magnetization ... 0.00 μB per cell
Crystal system ... tetragonal



11.
Here is a relaxed structure of SmCoSnRu from Alexandria. Energies are from GGA-PBE.

abc: 4.664 4.664 4.664
angles: 60.00 60.00 60.00
Fractional coordinates of all 4 atoms:
Sn (0.500, 0.500, 0.500)
Ru (0.750, 0.750, 0.750)
Co (0.250, 0.250, 0.250)
Sm (0.000, 0.000, 0.000)

Values from the calculation:
Volume ... 72 Å³ per cell
Space-group type ... F-43m (216)
Magnetization ... 0.00 μB per cell
Uncorrected energy ... -6.484 eV per atom
Crystal system ... cubic



12.
Here is a relaxed structure of TbSmCoRu from Alexandria. Energies are from GGA-PBE.

abc: 4.203 4.036 5.613
angles: 90.00 111.99 90.00
Site moments in Bohr magnetons follow the coordinates.
Fractional coordinates of all 4 atoms:
Ru (0.558, 0.500, 0.117)  0.26
Co (0.443, 0.000, 0.887)  0.71
Tb (0.144, 0.000, 0.288)  -0.07
Sm (0.854, 0.500, 0.708)  -0.06

Values from the calculation:
Volume ... 88 Å³ per cell
E above lowest polymorph ... 0 meV per atom
Space-group type ... Amm2 (38)
Magnetization ... 0.76 μB per cell
Crystal system ... orthorhombic



13.
Here is a relaxed structure of TbSmCoRu from Alexandria. Energies are from GGA-PBE.

abc: 4.832 4.832 4.832
angles: 60.00 60.00 60.00
Fractional coordinates of all 4 atoms:
Tb (0.500, 0.500, 0.500)
Sm (0.000, 0.000, 0.000)
Ru (0.750, 0.750, 0.750)
Co (0.250, 0.250, 0.250)

Values from the calculation:
Volume ... 80 Å³ per cell
E above lowest polymorph ... 50 meV per atom
Space-group type ... F-43m (216)
Magnetization ... 0.00 μB per cell
Crystal system ... cubic



14.
Here is a relaxed structure of SmThCoRu from Alexandria. Energies are from GGA-PBE.

abc: 4.931 4.931 4.931
angles: 60.00 60.00 60.00
Site moments in Bohr magnetons follow the coordinates.
Fractional coordinates of all 4 atoms:
Ru (0.750, 0.750, 0.750)  0.15
Co (0.250, 0.250, 0.250)  0.77
Th (0.500, 0.500, 0.500)  -0.11
Sm (0.000, 0.000, 0.000)  -0.07

Values from the calculation:
Volume ... 85 Å³ per cell
Space-group type ... F-43m (216)
Magnetization ... 0.58 μB per cell
Uncorrected energy ... -7.330 eV per atom
Crystal system ... cubic



15.
Here is a relaxed structure of SmTmCoRu from Alexandria. Energies are from GGA-PBE.

abc: 4.787 4.787 4.787
angles: 60.00 60.00 60.00
Fractional coordinates of all 4 atoms:
Co (0.250, 0.250, 0.250)
Ru (0.750, 0.750, 0.750)
Sm (0.000, 0.000, 0.000)
Tm (0.500, 0.500, 0.500)

Values from the calculation:
Volume ... 78 Å³ per cell
Space-group type ... F-43m (216)
Magnetization ... 0.00 μB per cell
Uncorrected energy ... -6.590 eV per atom
Crystal system ... cubic



16.
Here is a relaxed structure of SmZrCoRu from Alexandria. Energies are from GGA-PBE.

abc: 4.727 4.727 4.727
angles: 60.00 60.00 60.00
Site moments in Bohr magnetons follow the coordinates.
Fractional coordinates of all 4 atoms:
Co (0.250, 0.250, 0.250)  0.82
Ru (0.750, 0.750, 0.750)  0.12
Zr (0.000, 0.000, 0.000)  -0.14
Sm (0.500, 0.500, 0.500)  -0.08

Values from the calculation:
Volume ... 75 Å³ per cell
Space-group type ... F-43m (216)
Magnetization ... 0.54 μB per cell
Uncorrected energy ... -7.630 eV per atom
Crystal system ... cubic



17.
Here is a relaxed structure of CoSn2Ru2 from Alexandria. Energies are from GGA-PBE.

abc: 3.437 3.437 8.149
angles: 77.82 77.82 90.00
Fractional coordinates of all 5 atoms:
Co (0.000, 0.000, 0.000)
Sn (0.401, 0.401, 0.198)
Sn (0.599, 0.599, 0.802)
Ru (0.250, 0.750, 0.500)
Ru (0.750, 0.250, 0.500)

Values from the calculation:
Volume ... 92 Å³ per cell
E above lowest polymorph ... 308 meV per atom
Space-group type ... I4/mmm (139)
Magnetization ... 0.00 μB per cell
Crystal system ... tetragonal



18.
Here is a relaxed structure of CoSn3Ru from Alexandria. Energies are from GGA-PBE.

abc: 4.997 4.997 4.997
angles: 90.00 90.00 90.00
Site moments in Bohr magnetons follow the coordinates.
Fractional coordinates of all 5 atoms:
Sn (0.500, 0.000, 0.000)  -0.02
Sn (0.000, 0.000, 0.500)  -0.04
Sn (0.000, 0.500, 0.000)  -0.03
Co (0.500, 0.500, 0.500)  1.83
Ru (0.000, 0.000, 0.000)  -0.20

Values from the calculation:
Volume ... 125 Å³ per cell
E above lowest polymorph ... 49 meV per atom
Space-group type ... Pm-3m (221)
Magnetization ... 1.31 μB per cell
Crystal system ... cubic



19.
Here is a relaxed structure of Co2SnRu2 from Alexandria. Energies are from GGA-PBE.

abc: 7.012 7.012 2.862
angles: 90.00 90.00 90.00
Site moments in Bohr magnetons follow the coordinates.
Fractional coordinates of all 10 atoms:
Co (0.118, 0.382, 0.000)  1.18
Co (0.618, 0.118, 0.000)  1.13
Co (0.382, 0.882, 0.000)  1.13
Co (0.882, 0.618, 0.000)  1.18
Ru (0.326, 0.174, 0.500)  0.42
Ru (0.174, 0.674, 0.500)  0.44
Ru (0.826, 0.326, 0.500)  0.44
Ru (0.674, 0.826, 0.500)  0.42
Sn (0.000, 0.000, 0.000)  -0.02
Sn (0.500, 0.500, 0.000)  -0.02

Values from the calculation:
Volume ... 141 Å³ per cell
Space-group type ... P4/mbm (127)
Magnetization ... 6.35 μB per cell
Uncorrected energy ... -7.042 eV per atom
Crystal system ... tetragonal



20.
Here is a relaxed structure of CoSn3Ru from Alexandria. Energies are from GGA-PBE.

abc: 4.788 4.788 4.788
angles: 90.00 90.00 90.00
Site moments in Bohr magnetons follow the coordinates.
Fractional coordinates of all 5 atoms:
Sn (0.000, 0.000, 0.500)  0.00
Sn (0.500, 0.000, 0.000)  0.00
Sn (0.000, 0.500, 0.000)  -0.02
Ru (0.500, 0.500, 0.500)  1.15
Co (0.000, 0.000, 0.000)  -0.23

Values from the calculation:
Volume ... 110 Å³ per cell
E above lowest polymorph ... 0 meV per atom
Space-group type ... Pm-3m (221)
Magnetization ... 0.93 μB per cell
Crystal system ... cubic



21.
Here is a relaxed structure of CoSn2Ru2 from Alexandria. Energies are from GGA-PBE.

abc: 7.485 7.485 3.084
angles: 90.00 90.00 90.00
Site moments in Bohr magnetons follow the coordinates.
Fractional coordinates of all 10 atoms:
Sn (0.847, 0.653, 0.000)  -0.01
Sn (0.347, 0.847, 0.000)  -0.01
Sn (0.153, 0.347, 0.000)  -0.01
Sn (0.653, 0.153, 0.000)  -0.01
Ru (0.353, 0.147, 0.500)  0.19
Ru (0.147, 0.647, 0.500)  0.19
Ru (0.647, 0.853, 0.500)  0.19
Ru (0.853, 0.353, 0.500)  0.19
Co (0.500, 0.500, 0.000)  1.84
Co (0.000, 0.000, 0.000)  1.84

Values from the calculation:
Volume ... 173 Å³ per cell
E above lowest polymorph ... 0 meV per atom
Space-group type ... P4/mbm (127)
Magnetization ... 4.31 μB per cell
Crystal system ... tetragonal



22.
Here is a relaxed structure of CoSnRu2 from Alexandria. Energies are from GGA-PBE.

abc: 5.601 5.601 6.700
angles: 65.30 65.30 90.00
Fractional coordinates of all 8 atoms:
Ru (0.875, 0.814, 0.750)
Ru (0.375, 0.436, 0.750)
Ru (0.186, 0.625, 0.250)
Ru (0.564, 0.125, 0.250)
Co (0.250, 0.750, 0.500)
Co (0.500, 0.500, 0.000)
Sn (0.750, 0.250, 0.500)
Sn (0.000, 0.000, 0.000)

Values from the calculation:
Volume ... 170 Å³ per cell
Space-group type ... I-42d (122)
Magnetization ... 0.00 μB per cell
Uncorrected energy ... -6.358 eV per atom
Crystal system ... tetragonal



23.
Here is a relaxed structure of CoSn6Ru from Alexandria. Energies are from GGA-PBE.

abc: 7.266 4.810 6.624
angles: 68.71 79.16 58.81
Site moments in Bohr magnetons follow the coordinates.
Fractional coordinates of all 8 atoms:
Co (0.500, 0.500, 0.000)  0.57
Sn (0.258, 0.946, 0.641)  0.00
Sn (0.752, 0.725, 0.000)  0.00
Sn (0.742, 0.054, 0.359)  0.00
Sn (0.248, 0.275, 0.000)  0.00
Sn (0.258, 0.587, 0.359)  0.00
Sn (0.742, 0.413, 0.641)  0.00
Ru (0.000, 0.000, 0.000)  0.21

Values from the calculation:
Volume ... 185 Å³ per cell
Space-group type ... C2/m (12)
Magnetization ... 0.75 μB per cell
Uncorrected energy ... -5.026 eV per atom
Crystal system ... monoclinic